An optimized crystal structure of HfTl2Br2F4. Source: the Alexandria database, functional PBE-GGA.

- DFT total energy (Ha/atom) = -0.1924

Lattice parameters (Å, degrees): 13.3509 6.2539 5.4497 90.00 93.17 90.00
Space group C2/m (No. 12)
Inequivalent atoms, fractional coordinates:
1 Hf 0.0000 0.0000 0.0000 (multiplicity 2)
2 Tl 0.1344 0.5000 0.6143 (multiplicity 4)
3 Br 0.1870 0.0000 0.8396 (multiplicity 4)
4 F 0.0390 0.2294 0.2398 (multiplicity 8)

=====

An optimized crystal structure of HfTl2Br4F2. Source: the Alexandria database, functional PBE-GGA.

- DFT total energy (Ha/atom) = -0.1686

Lattice parameters (Å, degrees): 12.0291 7.7090 6.0086 90.00 103.55 90.00
Space group C2/m (No. 12)
Inequivalent atoms, fractional coordinates:
1 Hf 0.0000 0.0000 0.0000 (multiplicity 2)
2 Tl 0.1892 0.5000 0.2901 (multiplicity 4)
3 Br 0.0982 0.2467 0.8043 (multiplicity 8)
4 F 0.1329 0.0000 0.2635 (multiplicity 4)

=====

An optimized crystal structure of HgBrF. Source: the Alexandria database, functional PBE-GGA.

- energy above the most stable polymorph in this dataset (eV/atom) = 0.000
- DFT total energy (Ha/atom) = -0.0812

Lattice parameters (Å, degrees): 3.9854 6.6435 6.8680 68.22 82.84 88.31
Space group P-1 (No. 2)
Inequivalent atoms, fractional coordinates:
1 Hg 0.2449 0.4417 0.2812 (multiplicity 2)
2 Br 0.3273 0.7988 0.8216 (multiplicity 2)
3 F 0.1923 0.3778 0.6611 (multiplicity 2)

=====

Uncorrected formation energy for the records above, in order: -2401, -1796, -926 meV/atom